Compound: Sc2SiGe2Rh5
Source: Alexandria via LeMat-Bulk
Functional: PBE
Structure: relaxed

Uncorrected formation energy (meV/atom): -773.5
Magnetization (Bohr magnetons per cell): 0.00

abc: 9.4269 9.4269 3.5211
angles: 90.00 90.00 90.00
Closest atoms and distances in Å follow each position.
Space group P4/mbm (No. 127)
Unique sites:
Sc 0.1719 0.3281 0.0000  3 Ge 2.67-2.86, 2 Rh 2.89
Si 0.0000 0.0000 0.0000  8 Rh 2.65
Ge 0.1280 0.6280 0.0000  6 Rh 2.45-2.47, 1 Sc 2.67
Rh 0.0000 0.5000 0.5000  4 Ge 2.45
Rh 0.0679 0.8009 0.5000  2 Ge 2.47, 2 Si 2.65

---

Compound: Sc2Si2GeRh5
Source: Alexandria via LeMat-Bulk
Functional: PBE
Structure: relaxed

Uncorrected formation energy (meV/atom): -926.7
Magnetization (Bohr magnetons per cell): 0.00

abc: 9.4000 9.4000 3.4656
angles: 90.00 90.00 90.00
Closest atoms and distances in Å follow each position.
Space group P4/mbm (No. 127)
Unique sites:
Sc 0.1736 0.3264 0.0000  3 Si 2.67-2.85, 6 Rh 2.89-2.98
Si 0.1253 0.6253 0.0000  6 Rh 2.40, 1 Sc 2.67
Ge 0.0000 0.0000 0.0000  8 Rh 2.69
Rh 0.0000 0.5000 0.5000  4 Si 2.40
Rh 0.0707 0.7926 0.5000  2 Si 2.40

---

Compound: SmScGeRh
Source: Alexandria via LeMat-Bulk
Functional: PBE
Structure: relaxed

Total energy (eV per formula unit): -25.7
Magnetization (Bohr magnetons per cell): 0.00

abc: 6.8906 6.8906 6.8906
angles: 90.00 90.00 90.00
Closest atoms and distances in Å follow each position.
Space group F-43m (No. 216)
Unique sites:
Sm 0.0000 0.0000 0.0000  4 Ge 2.98, 4 Rh 2.98
Sc 0.0000 0.0000 0.5000  4 Rh 2.98, 4 Ge 2.98
Ge 0.2500 0.2500 0.2500  4 Sc 2.98, 4 Sm 2.98
Rh 0.2500 0.2500 0.7500  4 Sc 2.98, 4 Sm 2.98

---

Compound: Sm2ScGe2Rh5
Source: Alexandria via LeMat-Bulk
Functional: PBE
Structure: relaxed

Total energy (eV per formula unit): -70.0
Magnetization (Bohr magnetons per cell): 0.00

abc: 9.9845 9.9845 3.6149
angles: 90.00 90.00 90.00
Closest atoms and distances in Å follow each position.
Space group P4/mbm (No. 127)
Unique sites:
Sm 0.1742 0.3258 0.0000  3 Ge 2.85-3.02, 6 Rh 3.05-3.17
Sc 0.0000 0.0000 0.0000  8 Rh 2.87
Ge 0.1237 0.6237 0.0000  6 Rh 2.50-2.51
Rh 0.0000 0.5000 0.5000  4 Ge 2.51
Rh 0.0672 0.7877 0.5000  2 Ge 2.50

---

Compound: Sc2SnGe2Rh5
Source: Alexandria via LeMat-Bulk
Functional: PBE
Structure: relaxed

Total energy (eV per formula unit): -70.5
Magnetization (Bohr magnetons per cell): 0.00

abc: 9.5033 9.5033 3.6521
angles: 90.00 90.00 90.00
Closest atoms and distances in Å follow each position.
Space group P4/mbm (No. 127)
Unique sites:
Sc 0.1735 0.3265 0.0000  3 Ge 2.71-2.87, 2 Rh 2.96
Sn 0.0000 0.0000 0.0000  8 Rh 2.78
Ge 0.1247 0.6247 0.0000  6 Rh 2.47-2.48, 1 Sc 2.71
Rh 0.0000 0.5000 0.5000  4 Ge 2.48
Rh 0.0714 0.7914 0.5000  2 Ge 2.47

---

Compound: Tb2ScGe3Rh4
Source: Alexandria via LeMat-Bulk
Functional: PBE
Structure: relaxed

Total energy (eV per formula unit): -68.1
Magnetization (Bohr magnetons per cell): 0.00

abc: 4.0948 4.0948 11.0180
angles: 90.00 90.00 90.00
Closest atoms and distances in Å follow each position.
Space group P-4m2 (No. 115)
Unique sites:
Tb 0.0000 0.5000 0.2331  4 Ge 3.12, 8 Rh 3.16-3.28
Sc 0.0000 0.0000 0.5000  4 Rh 2.64, 4 Ge 2.90
Ge 0.0000 0.5000 0.8735  5 Rh 2.45-2.48
Ge 0.5000 0.5000 0.5000  4 Rh 2.64, 4 Sc 2.90
Rh 0.0000 0.0000 0.0000  4 Ge 2.48
Rh 0.0000 0.5000 0.6512  3 Ge 2.45-2.64, 2 Sc 2.64
Rh 0.5000 0.5000 0.0000  4 Ge 2.48

---

Compound: Th2ScGe3Rh4
Source: Alexandria via LeMat-Bulk
Functional: PBE
Structure: relaxed

Total energy (eV per formula unit): -73.7
Magnetization (Bohr magnetons per cell): 0.00

abc: 4.1420 4.1420 11.1090
angles: 90.00 90.00 90.00
Closest atoms and distances in Å follow each position.
Space group P-4m2 (No. 115)
Unique sites:
Th 0.0000 0.5000 0.2359  4 Ge 3.18, 8 Rh 3.18-3.34
Sc 0.0000 0.0000 0.5000  4 Rh 2.67, 4 Ge 2.93
Ge 0.0000 0.5000 0.8749  5 Rh 2.48-2.49
Ge 0.5000 0.5000 0.5000  4 Rh 2.67, 4 Sc 2.93
Rh 0.0000 0.0000 0.0000  4 Ge 2.49
Rh 0.0000 0.5000 0.6521  3 Ge 2.48-2.67, 2 Sc 2.67
Rh 0.5000 0.5000 0.0000  4 Ge 2.49

---

Compound: ThScGe2Rh5
Source: Alexandria via LeMat-Bulk
Functional: PBE
Structure: relaxed

Total energy (eV per formula unit): -66.5
Magnetization (Bohr magnetons per cell): 0.00

abc: 4.1725 4.1725 9.0098
angles: 90.00 90.00 90.00
Closest atoms and distances in Å follow each position.
Space group P4/mmm (No. 123)
Unique sites:
Th 0.0000 0.0000 0.0000  12 Rh 2.95-2.98
Sc 0.0000 0.0000 0.5000  8 Rh 3.17, 8 Ge 3.19
Ge 0.5000 0.5000 0.3652  4 Rh 2.39, 1 Ge 2.43
Rh 0.0000 0.5000 0.2357  2 Ge 2.39
Rh 0.5000 0.5000 0.0000  4 Th 2.95, 8 Rh 2.98, 2 Ge 3.29

---

Compound: Tm2ScGe2Rh5
Source: Alexandria via LeMat-Bulk
Functional: PBE
Structure: relaxed

Total energy (eV per formula unit): -70.2
Magnetization (Bohr magnetons per cell): 0.00

abc: 9.7930 9.7930 3.5994
angles: 90.00 90.00 90.00
Closest atoms and distances in Å follow each position.
Space group P4/mbm (No. 127)
Unique sites:
Tm 0.1729 0.3271 0.0000  3 Ge 2.80-2.96, 6 Rh 3.00-3.13
Sc 0.0000 0.0000 0.0000  8 Rh 2.82
Ge 0.1253 0.6253 0.0000  6 Rh 2.48-2.50
Rh 0.0000 0.5000 0.5000  4 Ge 2.50
Rh 0.0685 0.7896 0.5000  2 Ge 2.48

---

Compound: TmScGeRh
Source: Alexandria via LeMat-Bulk
Functional: PBE
Structure: relaxed

Total energy (eV per formula unit): -25.9
Magnetization (Bohr magnetons per cell): 0.00

abc: 6.7520 6.7520 6.7520
angles: 90.00 90.00 90.00
Closest atoms and distances in Å follow each position.
Space group F-43m (No. 216)
Unique sites:
Tm 0.0000 0.0000 0.0000  4 Rh 2.92, 4 Ge 2.92
Sc 0.0000 0.0000 0.5000  4 Ge 2.92, 4 Rh 2.92
Ge 0.2500 0.2500 0.7500  4 Tm 2.92, 4 Sc 2.92
Rh 0.2500 0.2500 0.2500  4 Tm 2.92, 4 Sc 2.92

---

Compound: Y2ScGe3Rh4
Source: Alexandria via LeMat-Bulk
Functional: PBE
Structure: relaxed

Total energy (eV per formula unit): -71.7
Magnetization (Bohr magnetons per cell): 0.00

abc: 4.0922 4.0922 11.0212
angles: 90.00 90.00 90.00
Closest atoms and distances in Å follow each position.
Space group P-4m2 (No. 115)
Unique sites:
Y 0.0000 0.5000 0.2325  4 Ge 3.12, 8 Rh 3.17-3.28
Sc 0.0000 0.0000 0.5000  4 Rh 2.64, 4 Ge 2.89
Ge 0.0000 0.5000 0.8734  5 Rh 2.45-2.48
Ge 0.5000 0.5000 0.5000  4 Rh 2.64, 4 Sc 2.89
Rh 0.0000 0.0000 0.0000  4 Ge 2.48
Rh 0.0000 0.5000 0.6511  3 Ge 2.45-2.64, 2 Sc 2.64
Rh 0.5000 0.5000 0.0000  4 Ge 2.48

---

Compound: Y2ScGe2Rh5
Source: Alexandria via LeMat-Bulk
Functional: PBE
Structure: relaxed

Total energy (eV per formula unit): -73.9
Magnetization (Bohr magnetons per cell): 0.00

abc: 9.8903 9.8903 3.5996
angles: 90.00 90.00 90.00
Closest atoms and distances in Å follow each position.
Space group P4/mbm (No. 127)
Unique sites:
Y 0.1735 0.3265 0.0000  3 Ge 2.82-2.99, 6 Rh 3.02-3.15
Sc 0.0000 0.0000 0.0000  8 Rh 2.84
Ge 0.1246 0.6246 0.0000  6 Rh 2.49-2.51
Rh 0.0000 0.5000 0.5000  4 Ge 2.51
Rh 0.0678 0.7888 0.5000  2 Ge 2.49

---

Which formula does entry 10 have? TmScGeRh